# Dy2InCu, optimized geometry, DFT PBE-GGA
# Volume, A^3/atom: 23.783
# Calculated formation energy, eV/atom: -0.356
# Magnetic moment, μB per formula unit: 0.00
data_Dy2InCu
_cell_length_a 3.5219
_cell_length_b 3.5219
_cell_length_c 7.6695
_cell_angle_alpha 90.00
_cell_angle_beta 90.00
_cell_angle_gamma 90.00
_symmetry_space_group_name_H-M 'P 4/m m m'
_symmetry_Int_Tables_number 123
_symmetry_space_group_name_Hall '-P 4 2'
loop_
_atom_site_label
_atom_site_type_symbol
_atom_site_fract_x
_atom_site_fract_y
_atom_site_fract_z
Dy1 Dy 0.0000 0.0000 0.2230
In1 In 0.5000 0.5000 0.5000
Cu1 Cu 0.5000 0.5000 0.0000